Entry 1:
VASP calculation (PBE) on a geometry-optimized ZnHgI2N structure.

## Properties
- E: -10.2 eV/f.u.
- Uncorrected formation energy: 53.87 kJ per mole of atoms

a b c (Å): 5.955 5.955 3.870
angles (deg): 90.00 90.00 90.00
Positions (direct):
Zn: 0.000 0.000 0.000
Hg: 0.500 0.500 0.500
I: 0.000 0.500 0.000
I: 0.500 0.000 0.000
N: 0.000 0.000 0.500

***

Entry 2:
VASP calculation (PBE) on a geometry-optimized ZnHgI2N structure.

## Properties
- E: -8.3 eV/f.u.
- Uncorrected formation energy: 90.78 kJ per mole of atoms

a b c (Å): 6.179 6.179 4.187
angles (deg): 90.00 90.00 90.00
Positions (direct):
Zn: 0.000 0.000 0.000
Hg: 0.500 0.500 0.500
I: 0.000 0.500 0.500
I: 0.500 0.000 0.500
N: 0.500 0.500 0.000

***

Entry 3:
VASP calculation (PBE) on a geometry-optimized ZrHgIN2 structure.

## Properties
- E: -17.8 eV/f.u.
- Uncorrected formation energy: 178.50 kJ per mole of atoms

a b c (Å): 4.249 4.249 5.729
angles (deg): 90.00 90.00 90.00
Positions (direct):
Zr: 0.000 0.000 0.000
Hg: 0.500 0.500 0.500
I: 0.500 0.500 0.000
N: 0.000 0.500 0.500
N: 0.500 0.000 0.500

***

Entry 4:
VASP calculation (PBE) on a geometry-optimized ZrHgIN2 structure.

## Properties
- E: -25.1 eV/f.u.
- Uncorrected formation energy: 38.00 kJ per mole of atoms

a b c (Å): 4.245 4.245 6.278
angles (deg): 90.00 90.00 90.00
Positions (direct):
Zr: 0.000 0.000 0.000
Hg: 0.500 0.500 0.500
I: 0.000 0.000 0.500
N: 0.000 0.500 0.000
N: 0.500 0.000 0.000

***

Entry 5:
VASP calculation (PBE) on a geometry-optimized NaHg2I2 structure.

## Properties
- E: -7.0 eV/f.u.
- Uncorrected formation energy: -37.50 kJ per mole of atoms

a b c (Å): 6.468 6.468 6.468
angles (deg): 121.57 121.57 87.30
Positions (direct):
Na: 0.000 0.000 0.000
Hg: 0.351 0.351 0.000
Hg: 0.649 0.649 0.000
I: 0.250 0.750 0.500
I: 0.750 0.250 0.500

***

Entry 6:
VASP calculation (PBE) on a geometry-optimized Na2HgI4 structure.

## Properties
- E: -14.9 eV/f.u.
- Uncorrected formation energy: -79.37 kJ per mole of atoms

a b c (Å): 9.223 9.223 15.979
angles (deg): 106.85 106.85 59.92
Positions (direct):
Na: 0.000 0.000 0.000
Na: 0.000 0.000 0.500
Na: 0.000 0.500 0.500
Na: 0.249 0.751 0.750
Na: 0.500 0.000 0.000
Na: 0.500 0.500 0.000
Na: 0.500 0.500 0.500
Na: 0.751 0.249 0.250
Hg: 0.063 0.562 0.187
Hg: 0.438 0.937 0.313
Hg: 0.562 0.063 0.687
Hg: 0.937 0.438 0.813
I: 0.119 0.128 0.376
I: 0.126 0.626 0.379
I: 0.128 0.119 0.876
I: 0.129 0.629 0.876
I: 0.371 0.382 0.624
I: 0.371 0.871 0.624
I: 0.374 0.874 0.121
I: 0.382 0.371 0.124
I: 0.618 0.629 0.876
I: 0.626 0.126 0.879
I: 0.629 0.129 0.376
I: 0.629 0.618 0.376
I: 0.871 0.371 0.124
I: 0.872 0.881 0.124
I: 0.874 0.374 0.621
I: 0.881 0.872 0.624

***

Entry 7:
VASP calculation (PBE) on a geometry-optimized Na4HgI6 structure.

## Properties
- E: -25.5 eV/f.u.
- Uncorrected formation energy: -92.98 kJ per mole of atoms

a b c (Å): 8.757 8.757 15.231
angles (deg): 108.57 108.57 60.29
Positions (direct):
Na: 0.102 0.409 0.824
Na: 0.111 0.889 0.500
Na: 0.336 0.562 0.160
Na: 0.409 0.102 0.324
Na: 0.501 0.728 0.941
Na: 0.562 0.336 0.660
Na: 0.728 0.501 0.441
Na: 0.889 0.111 0.000
Hg: 0.504 0.904 0.728
Hg: 0.904 0.504 0.228
I: 0.079 0.509 0.422
I: 0.179 0.712 0.977
I: 0.201 0.269 0.133
I: 0.269 0.201 0.633
I: 0.272 0.738 0.697
I: 0.358 0.797 0.361
I: 0.509 0.079 0.922
I: 0.670 0.823 0.166
I: 0.712 0.179 0.477
I: 0.738 0.272 0.197
I: 0.797 0.358 0.861
I: 0.823 0.670 0.666

***

Entry 8:
VASP calculation (PBE) on a geometry-optimized Na3Hg5I12 structure.

## Properties
- E: -34.0 eV/f.u.
- Uncorrected formation energy: -47.77 kJ per mole of atoms

a b c (Å): 16.343 16.343 16.343
angles (deg): 109.47 109.47 109.47
Positions (direct):
Na: 0.125 0.250 0.375
Na: 0.125 0.375 0.750
Na: 0.250 0.375 0.125
Na: 0.250 0.875 0.625
Na: 0.375 0.125 0.250
Na: 0.375 0.750 0.125
Na: 0.625 0.250 0.875
Na: 0.625 0.875 0.750
Na: 0.750 0.125 0.375
Na: 0.750 0.625 0.875
Na: 0.875 0.625 0.250
Na: 0.875 0.750 0.625
Hg: 0.000 0.000 0.000
Hg: 0.000 0.000 0.500
Hg: 0.000 0.500 0.000
Hg: 0.000 0.500 0.500
Hg: 0.125 0.750 0.875
Hg: 0.125 0.875 0.250
Hg: 0.250 0.125 0.875
Hg: 0.250 0.625 0.375
Hg: 0.375 0.250 0.625
Hg: 0.375 0.625 0.750
Hg: 0.500 0.000 0.000
Hg: 0.500 0.000 0.500
Hg: 0.500 0.500 0.000
Hg: 0.500 0.500 0.500
Hg: 0.625 0.375 0.250
Hg: 0.625 0.750 0.375
Hg: 0.750 0.375 0.625
Hg: 0.750 0.875 0.125
Hg: 0.875 0.125 0.750
Hg: 0.875 0.250 0.125
I: 0.035 0.213 0.128
I: 0.035 0.323 0.907
I: 0.085 0.713 0.677
I: 0.085 0.872 0.407
I: 0.093 0.628 0.415
I: 0.093 0.965 0.677
I: 0.128 0.035 0.213
I: 0.128 0.593 0.915
I: 0.177 0.213 0.585
I: 0.177 0.465 0.593
I: 0.213 0.128 0.035
I: 0.213 0.585 0.177
I: 0.287 0.323 0.915
I: 0.287 0.465 0.372
I: 0.323 0.907 0.035
I: 0.323 0.915 0.287
I: 0.372 0.287 0.465
I: 0.372 0.585 0.907
I: 0.407 0.085 0.872
I: 0.407 0.823 0.535
I: 0.415 0.093 0.628
I: 0.415 0.823 0.787
I: 0.465 0.372 0.287
I: 0.465 0.593 0.177
I: 0.535 0.407 0.823
I: 0.535 0.628 0.713
I: 0.585 0.177 0.213
I: 0.585 0.907 0.372
I: 0.593 0.177 0.465
I: 0.593 0.915 0.128
I: 0.628 0.415 0.093
I: 0.628 0.713 0.535
I: 0.677 0.085 0.713
I: 0.677 0.093 0.965
I: 0.713 0.535 0.628
I: 0.713 0.677 0.085
I: 0.787 0.415 0.823
I: 0.787 0.872 0.965
I: 0.823 0.535 0.407
I: 0.823 0.787 0.415
I: 0.872 0.407 0.085
I: 0.872 0.965 0.787
I: 0.907 0.035 0.323
I: 0.907 0.372 0.585
I: 0.915 0.128 0.593
I: 0.915 0.287 0.323
I: 0.965 0.677 0.093
I: 0.965 0.787 0.872

***

Entry 9:
VASP calculation (PBE) on a geometry-optimized NaHg2I2 structure.

## Properties
- E: -7.1 eV/f.u.
- Uncorrected formation energy: -41.02 kJ per mole of atoms

a b c (Å): 10.031 10.031 10.031
angles (deg): 155.64 155.64 34.72
Positions (direct):
Na: 0.000 0.000 0.000
Hg: 0.250 0.750 0.500
Hg: 0.750 0.250 0.500
I: 0.406 0.406 0.000
I: 0.594 0.594 0.000

***

Entry 10:
VASP calculation (PBE) on a geometry-optimized NaHgI2 structure.

## Properties
- E: -6.6 eV/f.u.
- Uncorrected formation energy: -44.67 kJ per mole of atoms

a b c (Å): 5.743 5.743 5.743
angles (deg): 60.00 60.00 60.00
Positions (direct):
Na: 0.000 0.000 0.000
Hg: 0.500 0.500 0.500
I: 0.250 0.250 0.250
I: 0.750 0.750 0.750

***

Entry 11:
VASP calculation (PBE) on a geometry-optimized NaHg2I2 structure.

## Properties
- E: -6.6 eV/f.u.
- Uncorrected formation energy: -31.35 kJ per mole of atoms

a b c (Å): 8.932 8.932 4.508
angles (deg): 90.00 90.00 90.00
Positions (direct):
Na: 0.000 0.000 0.000
Na: 0.500 0.500 0.000
Hg: 0.112 0.388 0.000
Hg: 0.388 0.888 0.000
Hg: 0.612 0.112 0.000
Hg: 0.888 0.612 0.000
I: 0.206 0.706 0.500
I: 0.294 0.206 0.500
I: 0.706 0.794 0.500
I: 0.794 0.294 0.500

***

Entry 12:
VASP calculation (PBE) on a geometry-optimized Na3HgI4 structure.

## Properties
- E: -17.9 eV/f.u.
- Uncorrected formation energy: -89.90 kJ per mole of atoms

a b c (Å): 6.232 11.332 9.871
angles (deg): 90.00 90.00 90.00
Positions (direct):
Na: 0.250 0.005 0.162
Na: 0.250 0.495 0.162
Na: 0.250 0.750 0.672
Na: 0.750 0.250 0.328
Na: 0.750 0.505 0.838
Na: 0.750 0.995 0.838
Hg: 0.250 0.250 0.667
Hg: 0.750 0.750 0.333
I: 0.250 0.250 0.321
I: 0.250 0.511 0.840
I: 0.250 0.750 0.334
I: 0.250 0.989 0.840
I: 0.750 0.011 0.160
I: 0.750 0.250 0.666
I: 0.750 0.489 0.160
I: 0.750 0.750 0.679

***

The evaluated V for the records listed, in turn: 27.45, 31.97, 20.68, 22.63, 37.31, 39.59, 42.87, 42.01, 34.31, 33.48, 35.97, 43.57 A^3/atom.